1.
Material: Cs3KNi2F9
Method: DFT, GGA+U
State: relaxed

Unit cell a=6.2230 b=6.2230 c=7.7731 alpha=90.00 beta=90.00 gamma=120.00
Site moments in Bohr magnetons follow the coordinates.
Sites, in units of the cell vectors:
Cs 0.3333 0.6667 0.6617  0.00
Cs 0.0000 0.0000 0.0000  0.00
Cs 0.6667 0.3333 0.3383  0.00
K 0.0000 0.0000 0.5000  0.00
Ni 0.3333 0.6667 0.1468  1.64
Ni 0.6667 0.3333 0.8532  1.64
F 0.8130 0.1870 0.7079  -0.03
F 0.8130 0.6261 0.7079  -0.03
F 0.3739 0.1870 0.7079  -0.03
F 0.6261 0.8130 0.2921  -0.03
F 0.1870 0.3739 0.2921  -0.03
F 0.1870 0.8130 0.2921  -0.03
F 0.5000 0.0000 0.0000  -0.05
F 0.0000 0.5000 0.0000  -0.05
F 0.5000 0.5000 0.0000  -0.05

Computed properties:
E (eV/cell): -61.408
Size of the total moment (μB per formula unit): 2.99



2.
Material: Cs2KNi3F12
Method: DFT, GGA+U
State: relaxed

Unit cell a=7.4482 b=7.4482 c=7.4482 alpha=59.60 beta=59.60 gamma=59.60
Site moments in Bohr magnetons follow the coordinates.
Sites, in units of the cell vectors:
Cs 0.6113 0.6113 0.6113  0.00
Cs 0.3887 0.3887 0.3887  0.00
K 0.0000 0.0000 0.0000  0.00
Ni 0.5000 0.0000 0.0000  1.08
Ni 0.0000 0.5000 0.0000  1.08
Ni 0.0000 0.0000 0.5000  1.08
F 0.2830 0.2830 0.8949  0.03
F 0.8843 0.8843 0.4390  -0.07
F 0.4390 0.8843 0.8843  -0.07
F 0.8949 0.2830 0.2830  0.03
F 0.8843 0.4390 0.8843  -0.07
F 0.2830 0.8949 0.2830  0.03
F 0.7170 0.7170 0.1051  0.03
F 0.1157 0.1157 0.5610  -0.07
F 0.5610 0.1157 0.1157  -0.07
F 0.1051 0.7170 0.7170  0.03
F 0.1157 0.5610 0.1157  -0.07
F 0.7170 0.1051 0.7170  0.03

Computed properties:
E (eV/cell): -71.676
Size of the total moment (μB per formula unit): 3.00



Which formula does entry 1 have?
Cs3KNi2F9



Which value of size of the total moment does entry 2 give?
3.00 μB per formula unit